Record 1
Entry from Alexandria: Cd13Pb3 after structural relaxation (PBE).

Properties
* symmetry: Amm2 (38)

a = 7.560 Å, b = 7.560 Å, c = 6.975 Å
α = 90.00°, β = 90.00°, γ = 92.46°
Element x y z (fractional)
1 Cd 0.219 0.781 0.000
2 Cd 0.527 0.952 0.256
3 Cd 0.455 0.545 0.746
4 Cd 0.220 0.780 0.500
5 Cd 0.048 0.473 0.256
6 Cd 0.781 0.691 0.500
7 Cd 0.048 0.473 0.744
8 Cd 0.784 0.716 0.000
9 Cd 0.707 0.293 0.500
10 Cd 0.455 0.545 0.254
11 Cd 0.527 0.952 0.744
12 Cd 0.309 0.219 0.500
13 Cd 0.284 0.216 0.000
14 Pb 0.703 0.297 0.000
15 Pb 0.966 0.034 0.740
16 Pb 0.966 0.034 0.260

Record 2
Entry from Alexandria: Cd3Pb after structural relaxation (PBE).

Properties
* symmetry: Pm-3n (223)

a = 5.924 Å, b = 5.924 Å, c = 5.924 Å
α = 90.00°, β = 90.00°, γ = 90.00°
Element x y z (fractional)
1 Pb 0.000 0.000 0.000
2 Pb 0.500 0.500 0.500
3 Cd 0.250 0.500 0.000
4 Cd 0.000 0.750 0.500
5 Cd 0.750 0.500 0.000
6 Cd 0.000 0.250 0.500
7 Cd 0.500 0.000 0.750
8 Cd 0.500 0.000 0.250

The calculation returns the following mass density values, one per record and in order: 8.7, 8.7 g/cm3.
The calculation returns the following E_form values, one per record and in order: 52, 73 meV/atom.